(1)
VASP calculation (PBE) on Ta2AuCl after structural relaxation.

Output
Formation energy from raw total energies   0.465 eV/atom
D(E_F)   4.256 states/eV per cell
Energy above the most stable polymorph in this dataset   612.3 meV per atom
Symmetry   Pmmm (47)
Theoretical density   13.0 Mg/m³

a = 2.852 Å, b = 5.560 Å, c = 4.770 Å
α = 90.00°, β = 90.00°, γ = 90.00°
Fractional coordinates of all 4 atoms:
Au1 0.500 0.000 0.500
Cl1 0.000 0.500 0.500
Ta1 0.000 0.000 0.000
Ta2 0.500 0.500 0.000

(2)
VASP calculation (PBE) on BeCoGe2 after structural relaxation.

Output
Energy relative to the elements   0.220 eV per atom
D(E_F)   2.493 states/eV per cell
Symmetry   R-3m (166)
Theoretical density   6.1 Mg/m³

a = 2.931 Å, b = 2.931 Å, c = 8.045 Å
α = 79.50°, β = 79.50°, γ = 60.00°
Fractional coordinates of all 4 atoms:
Ge1 0.093 0.093 0.720
Ge2 0.907 0.907 0.280
Be1 0.000 0.000 0.000
Co1 0.500 0.500 0.500

(3)
VASP calculation (PBE) on ZnNiRh4 after structural relaxation.

Output
Energy relative to the elements   0.377 eV per atom
D(E_F)   11.890 states/eV per cell
Energy above the most stable polymorph in this dataset   444.3 meV per atom
Symmetry   F-43m (216)
Theoretical density   9.6 Mg/m³

a = 5.081 Å, b = 5.081 Å, c = 5.081 Å
α = 60.00°, β = 60.00°, γ = 60.00°
Fractional coordinates of all 6 atoms:
Ni1 0.000 0.000 0.000
Rh1 0.375 0.875 0.375
Rh2 0.375 0.375 0.875
Rh3 0.375 0.375 0.375
Rh4 0.875 0.375 0.375
Zn1 0.750 0.750 0.750

(4)
VASP calculation (PBE) on NiAuS2 after structural relaxation.

Output
Formation energy from raw total energies   -0.085 eV/atom
D(E_F)   6.668 states/eV per cell
Symmetry   C2/c (15)
Theoretical density   5.4 Mg/m³

a = 7.591 Å, b = 7.560 Å, c = 7.560 Å
α = 87.54°, β = 127.95°, γ = 52.05°
Fractional coordinates of all 8 atoms:
S1 0.775 0.300 0.484
S2 0.725 0.984 0.800
S3 0.225 0.700 0.516
S4 0.275 0.016 0.200
Ni1 0.750 0.250 0.750
Ni2 0.250 0.750 0.250
Au1 0.750 0.815 0.315
Au2 0.250 0.185 0.685

(5)
VASP calculation (PBE) on Zr2InGe2 after structural relaxation.

Output
Energy relative to the elements   -0.310 eV per atom
D(E_F)   3.069 states/eV per cell
Symmetry   I4/mmm (139)
Theoretical density   6.9 Mg/m³

a = 3.645 Å, b = 3.645 Å, c = 8.381 Å
α = 77.44°, β = 77.44°, γ = 90.00°
Fractional coordinates of all 5 atoms:
Zr1 0.612 0.612 0.776
Zr2 0.388 0.388 0.224
Ge1 0.750 0.250 0.500
Ge2 0.250 0.750 0.500
In1 0.000 0.000 0.000

(6)
VASP calculation (PBE) on Ac4Pt3S after structural relaxation.

Output
Formation energy from raw total energies   -1.359 eV/atom
D(E_F)   2.794 states/eV per cell
Symmetry   Cmmm (65)
Theoretical density   10.5 Mg/m³

a = 4.357 Å, b = 7.677 Å, c = 7.677 Å
α = 70.69°, β = 90.00°, γ = 90.00°
Fractional coordinates of all 8 atoms:
Ac1 0.000 0.757 0.744
Ac2 0.500 0.246 0.746
Ac3 0.500 0.754 0.254
Ac4 0.000 0.244 0.256
Pt1 0.000 0.000 0.000
Pt2 0.000 0.500 0.500
Pt3 0.500 0.000 0.500
S1 0.500 0.500 0.000

(7)
VASP calculation (PBE) on KY2NbIr after structural relaxation.

Output
Energy relative to the elements   0.806 eV per atom
D(E_F)   4.381 states/eV per cell
Symmetry   P4/mmm (123)
Theoretical density   5.0 Mg/m³

a = 5.341 Å, b = 5.887 Å, c = 5.341 Å
α = 90.00°, β = 90.00°, γ = 90.00°
Fractional coordinates of all 5 atoms:
Nb1 0.500 0.500 0.500
Y1 0.000 0.000 0.500
Y2 0.500 0.000 0.000
K1 0.000 0.500 0.000
Ir1 0.000 0.000 0.000

(8)
VASP calculation (PBE) on CdBi5 after structural relaxation.

Output
Energy relative to the elements   0.136 eV per atom
D(E_F)   3.997 states/eV per cell
Symmetry   Cmmm (65)
Theoretical density   10.5 Mg/m³

a = 4.169 Å, b = 5.401 Å, c = 8.572 Å
α = 108.36°, β = 90.00°, γ = 90.00°
Fractional coordinates of all 6 atoms:
Bi1 0.000 0.329 0.659
Bi2 0.500 0.846 0.692
Bi3 0.500 0.500 0.000
Bi4 0.500 0.154 0.308
Bi5 0.000 0.671 0.341
Cd1 0.000 0.000 0.000

(9)
VASP calculation (PBE) on NaZnSbPb after structural relaxation.

Output
Formation energy from raw total energies   -0.036 eV/atom
D(E_F)   0.502 states/eV per cell
Symmetry   F-43m (216)
Theoretical density   6.3 Mg/m³

a = 5.377 Å, b = 5.377 Å, c = 5.377 Å
α = 60.00°, β = 60.00°, γ = 60.00°
Fractional coordinates of all 4 atoms:
Pb1 0.250 0.250 0.250
Na1 0.750 0.750 0.750
Zn1 0.000 0.000 0.000
Sb1 0.500 0.500 0.500

(10)
VASP calculation (PBE) on BiMoRh2Cl after structural relaxation.

Output
Formation energy from raw total energies   0.627 eV/atom
D(E_F)   4.423 states/eV per cell
Symmetry   P4/mmm (123)
Theoretical density   8.5 Mg/m³

a = 4.864 Å, b = 4.532 Å, c = 4.864 Å
α = 90.00°, β = 90.00°, γ = 90.00°
Fractional coordinates of all 5 atoms:
Cl1 0.000 0.500 0.000
Mo1 0.000 0.000 0.000
Bi1 0.500 0.500 0.500
Rh1 0.000 0.000 0.500
Rh2 0.500 0.000 0.000

(11)
VASP calculation (PBE) on Pr2HoGa3Ir4 after structural relaxation.

Output
Energy relative to the elements   -0.705 eV per atom
D(E_F)   6.000 states/eV per cell
Symmetry   P-4m2 (115)
Theoretical density   11.6 Mg/m³

a = 4.277 Å, b = 4.277 Å, c = 11.110 Å
α = 90.00°, β = 90.00°, γ = 90.00°
Fractional coordinates of all 10 atoms:
Ir1 0.000 0.000 0.000
Ir2 0.500 0.500 0.000
Ir3 0.500 0.000 0.655
Ir4 0.000 0.500 0.345
Pr1 0.000 0.500 0.776
Pr2 0.500 0.000 0.224
Ga1 0.500 0.000 0.882
Ga2 0.000 0.000 0.500
Ga3 0.000 0.500 0.118
Ho1 0.500 0.500 0.500

(12)
VASP calculation (PBE) on CdNiSb2P after structural relaxation.

Output
Formation energy from raw total energies   0.356 eV/atom
D(E_F)   3.359 states/eV per cell
Symmetry   P4/mmm (123)
Theoretical density   6.1 Mg/m³

a = 5.420 Å, b = 4.119 Å, c = 5.420 Å
α = 90.00°, β = 90.00°, γ = 90.00°
Fractional coordinates of all 5 atoms:
Cd1 0.500 0.500 0.500
Sb1 0.500 0.000 0.000
Sb2 0.000 0.000 0.500
P1 0.000 0.000 0.000
Ni1 0.000 0.500 0.000